SrTaCu2: optimized geometry, PBE.

The structure belongs to space group I-4m2 (No. 119); the cell edges are 3.9589, 3.9589 and 9.8484 Å and the angles 90.00°, 90.00° and 90.00°. The inequivalent atoms are Sr at (0.0000, 0.0000, 0.0000), Ta at (0.0000, 0.5000, 0.7500), Cu at (0.0000, 0.0000, 0.5000) and Cu at (0.0000, 0.5000, 0.2500).

Its energy above the most stable polymorph in this dataset is 531 meV/atom. The formation energy comes out at 0.795 eV/atom.